[1]
Below is an optimized crystal structure of Ba2CdHgRh, with properties calculated at the PBE level.

Unit cell a=5.9554 b=5.9554 c=5.2697 alpha=90.00 beta=90.00 gamma=90.00
With the nearest neighbours (Å) after each atom.
Atoms (fractional coordinates):
Ba (0.0000, 0.5000, 0.0000)  2 Rh 2.98
Ba (0.5000, 0.0000, 0.0000)  2 Rh 2.98
Cd (0.0000, 0.0000, 0.5000)  2 Rh 2.63
Hg (0.5000, 0.5000, 0.5000)  8 Ba 3.98, 4 Cd 4.21
Rh (0.0000, 0.0000, 0.0000)  2 Cd 2.63

Output
uncorrected energy	-13.72	eV for the cell shown
theoretical density	6.14	g/cm³
calculated volume	187	Å³/cell
symmetry	P4/mmm, No. 123
crystal system	tetragonal


[2]
Below is an optimized crystal structure of Ba2CdHgRh, with properties calculated at the PBE level.

Unit cell a=5.9475 b=5.9475 c=5.3257 alpha=90.00 beta=90.00 gamma=90.00
With the nearest neighbours (Å) after each atom.
Atoms (fractional coordinates):
Ba (0.0000, 0.5000, 0.0000)  2 Rh 2.97
Ba (0.5000, 0.0000, 0.0000)  2 Rh 2.97
Cd (0.0000, 0.0000, 0.5000)  8 Ba 3.99, 4 Hg 4.21
Hg (0.5000, 0.5000, 0.5000)  2 Rh 2.66
Rh (0.5000, 0.5000, 0.0000)  2 Hg 2.66, 4 Ba 2.97

Output
uncorrected energy	-13.46	eV for the cell shown
theoretical density	6.09	g/cm³
calculated volume	188	Å³/cell
symmetry	P4/mmm, No. 123
crystal system	tetragonal


[3]
Below is an optimized crystal structure of BaCdHg2Rh, with properties calculated at the PBE level.

Unit cell a=5.3172 b=5.3172 c=5.2110 alpha=90.00 beta=90.00 gamma=90.00
With the nearest neighbours (Å) after each atom.
Atoms (fractional coordinates):
Ba (0.0000, 0.0000, 0.0000)  8 Hg 3.72, 4 Cd 3.76
Cd (0.5000, 0.5000, 0.0000)  2 Rh 2.61
Hg (0.0000, 0.5000, 0.5000)  2 Rh 2.66
Hg (0.5000, 0.0000, 0.5000)  2 Rh 2.66
Rh (0.5000, 0.5000, 0.5000)  2 Cd 2.61, 4 Hg 2.66

Output
uncorrected energy	-12.16	eV for the cell shown
theoretical density	8.50	g/cm³
calculated volume	147	Å³/cell
symmetry	P4/mmm, No. 123
crystal system	tetragonal


[4]
Below is an optimized crystal structure of Ba2Cd6HgRh, with properties calculated at the PBE level.

Unit cell a=13.4496 b=13.4496 c=13.4496 alpha=31.11 beta=31.11 gamma=31.11
With the nearest neighbours (Å) after each atom.
Atoms (fractional coordinates):
Ba (0.1089, 0.1089, 0.1089)  12 Cd 3.72-3.80
Ba (0.2808, 0.2808, 0.2808)  12 Cd 3.70-3.71
Ba (0.7192, 0.7192, 0.7192)  12 Cd 3.70-3.71
Ba (0.8911, 0.8911, 0.8911)  12 Cd 3.72-3.80
Cd (0.0771, 0.6687, 0.6687)  1 Rh 2.70, 2 Cd 2.95, 1 Hg 3.02
Cd (0.2203, 0.2203, 0.6550)  1 Rh 2.65, 1 Hg 2.95
Cd (0.2203, 0.6550, 0.2203)  1 Rh 2.65, 1 Hg 2.95
Cd (0.3313, 0.3313, 0.9229)  1 Rh 2.70, 2 Cd 2.95, 1 Hg 3.02
Cd (0.3313, 0.9229, 0.3313)  1 Rh 2.70, 2 Cd 2.95, 1 Hg 3.02
Cd (0.3450, 0.7797, 0.7797)  1 Rh 2.65, 1 Hg 2.95
Cd (0.6550, 0.2203, 0.2203)  1 Rh 2.65, 1 Hg 2.95
Cd (0.6687, 0.0771, 0.6687)  1 Rh 2.70, 2 Cd 2.95, 1 Hg 3.02
Cd (0.6687, 0.6687, 0.0771)  1 Rh 2.70, 2 Cd 2.95, 1 Hg 3.02
Cd (0.7797, 0.3450, 0.7797)  1 Rh 2.65, 1 Hg 2.95
Cd (0.7797, 0.7797, 0.3450)  1 Rh 2.65, 1 Hg 2.95
Cd (0.9229, 0.3313, 0.3313)  1 Rh 2.70, 2 Cd 2.95, 1 Hg 3.02
Hg (0.4261, 0.4261, 0.4261)  1 Rh 2.84, 6 Cd 2.95-3.02
Hg (0.5739, 0.5739, 0.5739)  1 Rh 2.84, 6 Cd 2.95-3.02
Rh (0.0000, 0.0000, 0.0000)  6 Cd 2.65
Rh (0.5000, 0.5000, 0.5000)  6 Cd 2.70, 2 Hg 2.84

Output
uncorrected energy	-38.52	eV for the cell shown
theoretical density	7.22	g/cm³
calculated volume	576	Å³/cell
symmetry	R-3m, No. 166
crystal system	trigonal


[5]
Below is an optimized crystal structure of Ba2CdHg4Sb2, with properties calculated at the PBE level.

Unit cell a=7.4668 b=7.4668 c=7.4668 alpha=122.05 beta=122.05 gamma=86.49
With the nearest neighbours (Å) after each atom.
Atoms (fractional coordinates):
Ba (0.2500, 0.7500, 0.5000)  4 Sb 3.63, 8 Hg 3.75
Ba (0.7500, 0.2500, 0.5000)  4 Sb 3.63, 8 Hg 3.75
Cd (0.0000, 0.0000, 0.0000)  4 Hg 2.91, 2 Sb 2.97
Hg (0.2847, 0.2847, 0.5694)  1 Cd 2.91, 2 Hg 3.12
Hg (0.2847, 0.7153, 0.0000)  1 Cd 2.91, 2 Hg 3.12
Hg (0.7153, 0.2847, 0.0000)  1 Cd 2.91, 2 Hg 3.12
Hg (0.7153, 0.7153, 0.4306)  1 Cd 2.91, 2 Hg 3.12
Sb (0.2733, 0.2733, 0.0000)  1 Cd 2.97, 4 Hg 3.31
Sb (0.7267, 0.7267, 0.0000)  1 Cd 2.97, 4 Hg 3.31

Output
uncorrected energy	-18.15	eV for the cell shown
raw formation energy	-0.44	eV per atom
theoretical density	8.36	g/cm³
calculated volume	285	Å³/cell
symmetry	I4/mmm, No. 139
crystal system	tetragonal


[6]
Below is an optimized crystal structure of Ba2CdHg3Sb4, with properties calculated at the PBE level.

Unit cell a=4.7054 b=4.7054 c=14.3362 alpha=90.00 beta=90.00 gamma=90.00
With the nearest neighbours (Å) after each atom.
Atoms (fractional coordinates):
Ba (0.0000, 0.5000, 0.2491)  4 Hg 3.64, 4 Sb 3.71
Ba (0.5000, 0.0000, 0.7509)  4 Hg 3.64, 4 Sb 3.71
Cd (0.0000, 0.0000, 0.5000)  4 Sb 3.07, 4 Hg 3.33
Hg (0.0000, 0.5000, 0.8531)  5 Sb 3.10-3.16
Hg (0.5000, 0.0000, 0.1469)  5 Sb 3.10-3.16
Hg (0.5000, 0.5000, 0.5000)  4 Sb 3.07, 4 Cd 3.33
Sb (0.0000, 0.0000, 0.0000)  4 Hg 3.16, 4 Sb 3.33
Sb (0.0000, 0.5000, 0.6371)  3 Hg 3.07-3.10, 2 Cd 3.07
Sb (0.5000, 0.0000, 0.3629)  3 Hg 3.07-3.10, 2 Cd 3.07
Sb (0.5000, 0.5000, 0.0000)  4 Hg 3.16, 4 Sb 3.33

Output
uncorrected energy	-25.86	eV for the cell shown
raw formation energy	-0.37	eV per atom
theoretical density	7.72	g/cm³
calculated volume	317	Å³/cell
symmetry	P-4m2, No. 115
crystal system	tetragonal


[7]
Below is an optimized crystal structure of BaCdHg2Sb, with properties calculated at the PBE level.

Unit cell a=5.4989 b=5.4989 c=5.8378 alpha=90.00 beta=90.00 gamma=90.00
With the nearest neighbours (Å) after each atom.
Atoms (fractional coordinates):
Ba (0.0000, 0.0000, 0.0000)  4 Sb 3.89, 8 Hg 4.01
Cd (0.5000, 0.5000, 0.5000)  4 Hg 2.75, 2 Sb 2.92
Hg (0.0000, 0.5000, 0.5000)  2 Cd 2.75
Hg (0.5000, 0.0000, 0.5000)  2 Cd 2.75
Sb (0.5000, 0.5000, 0.0000)  2 Cd 2.92

Output
uncorrected energy	-8.79	eV for the cell shown
raw formation energy	-0.24	eV per atom
theoretical density	7.27	g/cm³
calculated volume	177	Å³/cell
symmetry	P4/mmm, No. 123
crystal system	tetragonal


[8]
Below is an optimized crystal structure of BaCdHgSb, with properties calculated at the PBE level.

Unit cell a=8.0236 b=8.0236 c=8.0236 alpha=90.00 beta=90.00 gamma=90.00
With the nearest neighbours (Å) after each atom.
Atoms (fractional coordinates):
Ba (0.0000, 0.0000, 0.0000)  4 Hg 3.47, 4 Sb 3.47
Ba (0.0000, 0.5000, 0.5000)  4 Hg 3.47, 4 Sb 3.47
Ba (0.5000, 0.0000, 0.5000)  4 Hg 3.47, 4 Sb 3.47
Ba (0.5000, 0.5000, 0.0000)  4 Hg 3.47, 4 Sb 3.47
Cd (0.0000, 0.0000, 0.5000)  4 Hg 3.47, 4 Sb 3.47
Cd (0.0000, 0.5000, 0.0000)  4 Hg 3.47, 4 Sb 3.47
Cd (0.5000, 0.0000, 0.0000)  4 Hg 3.47, 4 Sb 3.47
Cd (0.5000, 0.5000, 0.5000)  4 Hg 3.47, 4 Sb 3.47
Hg (0.2500, 0.2500, 0.7500)  4 Cd 3.47, 4 Ba 3.47
Hg (0.2500, 0.7500, 0.2500)  4 Cd 3.47, 4 Ba 3.47
Hg (0.7500, 0.2500, 0.2500)  4 Cd 3.47, 4 Ba 3.47
Hg (0.7500, 0.7500, 0.7500)  4 Cd 3.47, 4 Ba 3.47
Sb (0.2500, 0.2500, 0.2500)  4 Cd 3.47, 4 Ba 3.47
Sb (0.2500, 0.7500, 0.7500)  4 Cd 3.47, 4 Ba 3.47
Sb (0.7500, 0.2500, 0.7500)  4 Cd 3.47, 4 Ba 3.47
Sb (0.7500, 0.7500, 0.2500)  4 Cd 3.47, 4 Ba 3.47

Output
uncorrected energy	-35.90	eV for the cell shown
raw formation energy	-0.43	eV per atom
theoretical density	7.36	g/cm³
calculated volume	517	Å³/cell
symmetry	F-43m, No. 216
crystal system	cubic


[9]
Below is an optimized crystal structure of BaCdHg2Sb, with properties calculated at the PBE level.

Unit cell a=4.8054 b=5.0177 c=12.6925 alpha=90.00 beta=90.00 gamma=90.00
With the nearest neighbours (Å) after each atom.
Atoms (fractional coordinates):
Ba (0.0000, 0.0000, 0.0000)  4 Sb 3.75, 6 Hg 3.77-3.78, 4 Cd 4.00-4.03
Ba (0.5000, 0.5000, 0.5000)  4 Sb 3.75, 6 Hg 3.77-3.78, 4 Cd 4.00-4.03
Cd (0.0000, 0.5000, 0.7544)  2 Hg 2.92, 2 Sb 3.09
Cd (0.5000, 0.0000, 0.2544)  2 Hg 2.92, 2 Sb 3.09
Hg (0.0000, 0.0000, 0.3854)  1 Sb 2.88, 2 Hg 2.91, 2 Cd 2.92
Hg (0.0000, 0.5000, 0.2697)  2 Hg 2.91, 2 Sb 3.13
Hg (0.5000, 0.0000, 0.7697)  2 Hg 2.91, 2 Sb 3.13
Hg (0.5000, 0.5000, 0.8854)  1 Sb 2.88, 2 Hg 2.91, 2 Cd 2.92
Sb (0.0000, 0.0000, 0.6121)  3 Hg 2.88-3.13, 2 Cd 3.09
Sb (0.5000, 0.5000, 0.1121)  3 Hg 2.88-3.13, 2 Cd 3.09

Output
uncorrected energy	-19.49	eV for the cell shown
raw formation energy	-0.44	eV per atom
theoretical density	8.38	g/cm³
calculated volume	306	Å³/cell
symmetry	Imm2, No. 44
crystal system	orthorhombic


[10]
Below is an optimized crystal structure of Ba2CdHg6Sb, with properties calculated at the PBE level.

Unit cell a=6.1024 b=9.6702 c=10.9478 alpha=90.00 beta=90.00 gamma=90.00
With the nearest neighbours (Å) after each atom.
Atoms (fractional coordinates):
Ba (0.2500, 0.0177, 0.2397)  4 Hg 3.52-3.81, 2 Sb 3.80
Ba (0.2500, 0.4823, 0.2397)  4 Hg 3.52-3.81, 2 Sb 3.80
Ba (0.7500, 0.5177, 0.7603)  4 Hg 3.52-3.81, 2 Sb 3.80
Ba (0.7500, 0.9823, 0.7603)  4 Hg 3.52-3.81, 2 Sb 3.80
Cd (0.2500, 0.2500, 0.7548)  6 Hg 2.87-3.13
Cd (0.7500, 0.7500, 0.2452)  6 Hg 2.87-3.13
Hg (0.0020, 0.7500, 0.4947)  6 Hg 3.03-3.08, 1 Cd 3.13
Hg (0.0034, 0.7500, 0.0242)  1 Cd 2.87, 1 Sb 3.00, 2 Hg 3.01-3.09
Hg (0.2500, 0.5044, 0.6006)  1 Cd 2.98, 4 Hg 3.05-3.08, 1 Sb 3.13
Hg (0.2500, 0.9956, 0.6006)  1 Cd 2.98, 4 Hg 3.05-3.08, 1 Sb 3.13
Hg (0.4966, 0.7500, 0.0242)  1 Cd 2.87, 1 Sb 3.00, 2 Hg 3.01-3.09
Hg (0.4980, 0.7500, 0.4947)  6 Hg 3.03-3.08, 1 Cd 3.13
Hg (0.5020, 0.2500, 0.5053)  6 Hg 3.03-3.08, 1 Cd 3.13
Hg (0.5034, 0.2500, 0.9758)  1 Cd 2.87, 1 Sb 3.00, 2 Hg 3.01-3.09
Hg (0.7500, 0.0044, 0.3994)  1 Cd 2.98, 4 Hg 3.05-3.08, 1 Sb 3.13
Hg (0.7500, 0.4956, 0.3994)  1 Cd 2.98, 4 Hg 3.05-3.08, 1 Sb 3.13
Hg (0.9966, 0.2500, 0.9758)  1 Cd 2.87, 1 Sb 3.00, 2 Hg 3.01-3.09
Hg (0.9980, 0.2500, 0.5053)  6 Hg 3.03-3.08, 1 Cd 3.13
Sb (0.2500, 0.7500, 0.7868)  4 Hg 3.00-3.13
Sb (0.7500, 0.2500, 0.2132)  4 Hg 3.00-3.13

Output
uncorrected energy	-27.27	eV for the cell shown
raw formation energy	-0.29	eV per atom
theoretical density	8.80	g/cm³
calculated volume	646	Å³/cell
symmetry	Pmmn, No. 59
crystal system	orthorhombic


[11]
Below is an optimized crystal structure of Ba2Cd4Hg3Sb, with properties calculated at the PBE level.

Unit cell a=4.9127 b=4.9127 c=12.4514 alpha=90.00 beta=90.00 gamma=90.00
With the nearest neighbours (Å) after each atom.
Atoms (fractional coordinates):
Ba (0.0000, 0.5000, 0.2428)  8 Cd 3.73-4.04, 6 Hg 3.78-3.89, 2 Sb 3.89
Ba (0.5000, 0.0000, 0.7572)  8 Cd 3.73-4.04, 6 Hg 3.78-3.89, 2 Sb 3.89
Cd (0.0000, 0.0000, 0.5000)  4 Hg 3.00
Cd (0.0000, 0.5000, 0.8670)  3 Hg 2.85-2.96, 2 Sb 2.96
Cd (0.5000, 0.0000, 0.1330)  3 Hg 2.85-2.96, 2 Sb 2.96
Cd (0.5000, 0.5000, 0.5000)  4 Hg 3.00
Hg (0.0000, 0.0000, 0.0000)  4 Cd 2.96
Hg (0.0000, 0.5000, 0.6379)  5 Cd 2.85-3.00
Hg (0.5000, 0.0000, 0.3621)  5 Cd 2.85-3.00
Sb (0.5000, 0.5000, 0.0000)  4 Cd 2.96

Output
uncorrected energy	-16.11	eV for the cell shown
raw formation energy	-0.36	eV per atom
theoretical density	8.00	g/cm³
calculated volume	301	Å³/cell
symmetry	P-4m2, No. 115
crystal system	tetragonal


[12]
Below is an optimized crystal structure of Ba2ScCd3Hg12, with properties calculated at the PBE level.

Unit cell a=13.0984 b=13.0984 c=13.0984 alpha=31.21 beta=31.21 gamma=31.21
With the nearest neighbours (Å) after each atom.
Atoms (fractional coordinates):
Ba (0.1380, 0.1380, 0.1380)  12 Hg 3.61-3.68
Ba (0.8620, 0.8620, 0.8620)  12 Hg 3.61-3.68
Sc (0.5000, 0.5000, 0.5000)  6 Hg 2.89
Cd (0.0000, 0.5000, 0.5000)  4 Hg 2.96
Cd (0.5000, 0.0000, 0.5000)  4 Hg 2.96
Cd (0.5000, 0.5000, 0.0000)  4 Hg 2.96
Hg (0.0936, 0.0936, 0.6499)  2 Cd 2.96, 4 Hg 3.06-3.13
Hg (0.0936, 0.6499, 0.0936)  2 Cd 2.96, 4 Hg 3.06-3.13
Hg (0.1076, 0.6150, 0.6150)  1 Sc 2.89, 2 Hg 3.06
Hg (0.3501, 0.9064, 0.9064)  2 Cd 2.96, 4 Hg 3.06-3.13
Hg (0.3850, 0.3850, 0.8924)  1 Sc 2.89, 2 Hg 3.06
Hg (0.3850, 0.8924, 0.3850)  1 Sc 2.89, 2 Hg 3.06
Hg (0.6150, 0.1076, 0.6150)  1 Sc 2.89, 2 Hg 3.06
Hg (0.6150, 0.6150, 0.1076)  1 Sc 2.89, 2 Hg 3.06
Hg (0.6499, 0.0936, 0.0936)  2 Cd 2.96, 4 Hg 3.06-3.13
Hg (0.8924, 0.3850, 0.3850)  1 Sc 2.89, 2 Hg 3.06
Hg (0.9064, 0.3501, 0.9064)  2 Cd 2.96, 4 Hg 3.06-3.13
Hg (0.9064, 0.9064, 0.3501)  2 Cd 2.96, 4 Hg 3.06-3.13

Output
uncorrected energy	-19.55	eV for the cell shown
theoretical density	9.50	g/cm³
calculated volume	535	Å³/cell
symmetry	R-3m, No. 166
crystal system	trigonal